An optimized crystal structure of Sr3Ga2MoO8. Source: the Alexandria database, functional PBE+U.

Output
Uncorrected energy ... -6.375 eV per atom
V ... 203 Å³/f.u.

Unit cell a=5.6916 b=5.6916 c=7.2273 alpha=90.00 beta=90.00 gamma=120.00
Space group P-3m1 (No. 164)
Symmetry-distinct sites (fractional):
Sr  0.0000  0.0000  0.0000 [1 per cell]
Sr  0.3333  0.6667  0.6465 [2 per cell]
Ga  0.3333  0.6667  0.2042 [2 per cell]
Mo  0.0000  0.0000  0.5000 [1 per cell]
O  0.1644  0.3288  0.3248 [6 per cell]
O  0.3333  0.6667  0.9601 [2 per cell]